Computed, not measured: a geometry-optimized ZrCuHg2Sb structure at the PBE-GGA level of DFT.

The value obtained for the density is 9.22 g/cm³. The density of states at the Fermi level comes out at 2.8 states/eV/f.u. The value obtained for the uncorrected formation energy is 0.289 eV per atom.

The space group is P4/mmm (No. 123) and the conventional cell measures 4.8491, 4.8491 and 5.1916 Å, with angles of 90.00, 90.00 and 90.00 degrees. The asymmetric unit holds Zr at (0.0000, 0.0000, 0.0000), Cu at (0.0000, 0.0000, 0.5000), Hg at (0.0000, 0.5000, 0.5000) and Sb at (0.5000, 0.5000, 0.0000).


Computed, not measured: a geometry-optimized BaHfBeN3 structure at the PBE-GGA level of DFT.

The value obtained for the density is 7.05 g/cm³. The density of states at the Fermi level comes out at 3.7 states/eV/f.u. The value obtained for the uncorrected formation energy is -0.990 eV per atom.

The space group is P2_1/m (No. 11) and the conventional cell measures 7.4210, 3.3072 and 7.4575 Å, with angles of 90.00, 109.20 and 90.00 degrees. The asymmetric unit holds Ba at (0.2440, 0.2500, 0.2048), Hf at (0.1593, 0.2500, 0.6673), Be at (0.3989, 0.7500, 0.9238), N at (0.1529, 0.7500, 0.4692), N at (0.1526, 0.7500, 0.8626) and N at (0.4583, 0.2500, 0.8439).


Computed, not measured: a geometry-optimized Lu2HfSb structure at the PBE-GGA level of DFT.

The value obtained for the density is 10.42 g/cm³. The density of states at the Fermi level comes out at 4.2 states/eV/f.u. The value obtained for the uncorrected formation energy is -0.201 eV per atom.

The space group is R-3m (No. 166, hexagonal axes) and the conventional cell measures 3.4460, 3.4460 and 30.2188 Å, with angles of 90.00, 90.00 and 120.00 degrees. The asymmetric unit holds Lu at (0.0000, 0.0000, 0.2489), Hf at (0.0000, 0.0000, 0.0000) and Sb at (0.0000, 0.0000, 0.5000).


Computed, not measured: a geometry-optimized ZnSbIr2Pb structure at the PBE-GGA level of DFT.

The value obtained for the density is 10.33 g/cm³. The density of states at the Fermi level comes out at 5.5 states/eV/f.u. The value obtained for the uncorrected formation energy is 1.514 eV per atom.

The space group is P4/mmm (No. 123) and the conventional cell measures 5.0712, 5.0712 and 4.8690 Å, with angles of 90.00, 90.00 and 90.00 degrees. The asymmetric unit holds Zn at (0.0000, 0.0000, 0.0000), Sb at (0.5000, 0.5000, 0.0000), Ir at (0.0000, 0.5000, 0.5000) and Pb at (0.0000, 0.0000, 0.5000).


Computed, not measured: a geometry-optimized LiLaErSi structure at the PBE-GGA level of DFT.

The value obtained for the density is 6.06 g/cm³. The density of states at the Fermi level comes out at 2.2 states/eV/f.u. The value obtained for the uncorrected formation energy is -0.333 eV per atom.

The space group is F-43m (No. 216) and the conventional cell measures 7.2033, 7.2033 and 7.2033 Å, with angles of 90.00, 90.00 and 90.00 degrees. The asymmetric unit holds Li at (0.0000, 0.0000, 0.0000), La at (0.2500, 0.2500, 0.7500), Er at (0.2500, 0.2500, 0.2500) and Si at (0.0000, 0.0000, 0.5000).


Computed, not measured: a geometry-optimized Sm6Tm8Al structure at the PBE-GGA level of DFT.

The value obtained for the density is 8.03 g/cm³. The density of states at the Fermi level comes out at 18.9 states/eV/f.u. Its formation energy is 8.0 kJ/mol of atoms.

The space group is P-3 (No. 147) and the conventional cell measures 9.4049, 9.4049 and 6.1563 Å, with angles of 90.00, 90.00 and 120.00 degrees. The asymmetric unit holds Sm at (0.0904, 0.6354, 0.3046), Tm at (0.0403, 0.7824, 0.7990), Tm at (0.3333, 0.6667, 0.8078) and Al at (0.0000, 0.0000, 0.5000).


Computed, not measured: a geometry-optimized PmPuBiBr structure at the PBE-GGA level of DFT.

The value obtained for the density is 9.81 g/cm³. The density of states at the Fermi level comes out at 8.8 states/eV/f.u. The value obtained for the uncorrected formation energy is -0.764 eV per atom.

The space group is F-43m (No. 216) and the conventional cell measures 7.7144, 7.7144 and 7.7144 Å, with angles of 90.00, 90.00 and 90.00 degrees. The asymmetric unit holds Pm at (0.0000, 0.0000, 0.0000), Pu at (0.0000, 0.0000, 0.5000), Bi at (0.2500, 0.2500, 0.2500) and Br at (0.2500, 0.2500, 0.7500).


Computed, not measured: a geometry-optimized NaYTi structure at the PBE-GGA level of DFT.

The energy above the most stable polymorph in this dataset is 0.86 eV/f.u. The value obtained for the density is 3.23 g/cm³. The density of states at the Fermi level comes out at 3.7 states/eV/f.u. Its formation energy is 38.0 kJ/mol of atoms.

The space group is Cm (No. 8) and the conventional cell measures 11.2433, 3.2519 and 9.7100 Å, with angles of 90.00, 112.20 and 90.00 degrees. The asymmetric unit holds Na at (0.0000, 0.0000, 0.0000), Na at (0.1658, 0.5000, 0.8155), Y at (0.0063, 0.0000, 0.4208), Y at (0.3276, 0.0000, 0.5958), Ti at (0.2014, 0.5000, 0.3012) and Ti at (0.3226, 0.0000, 0.1604).